1.
Computed, not measured: a geometry-optimized Pr5Tl structure at the PBE-GGA level of DFT.

Spin magnetization ... 0.0000 μB/atom
Crystal system ... orthorhombic
Uncorrected energy ... -4.486 eV per atom
V ... 403 Å³/cell
Calculated formation energy ... -108.6 meV/atom

Structure (CIF):
```
data_Pr5Tl
_space_group_name_H-M_alt 'C m m m'
_space_group_IT_number 65
_space_group_name_Hall '-C 2 2'
_cell_length_a 5.033
_cell_length_b 15.862
_cell_length_c 5.048
_cell_angle_alpha 90.00
_cell_angle_beta 90.00
_cell_angle_gamma 90.00
loop_
_atom_site_label
_atom_site_type_symbol
_atom_site_fract_x
_atom_site_fract_y
_atom_site_fract_z
Pr1 Pr 0.000 0.000 0.000
Pr2 Pr 0.000 0.163 0.500
Pr3 Pr 0.000 0.338 0.000
Tl1 Tl 0.000 0.500 0.500
```

=====

2.
Computed, not measured: a geometry-optimized Pr4Tl structure at the PBE-GGA level of DFT.

Spin magnetization ... 0.0000 μB/atom
Crystal system ... orthorhombic
Uncorrected energy ... -4.382 eV per atom
V ... 651 Å³/cell
Calculated formation energy ... -85.3 meV/atom

Structure (CIF):
```
data_Pr4Tl
_space_group_name_H-M_alt 'I m m a'
_space_group_IT_number 74
_space_group_name_Hall '-I 2b 2'
_cell_length_a 5.448
_cell_length_b 7.029
_cell_length_c 16.997
_cell_angle_alpha 90.00
_cell_angle_beta 90.00
_cell_angle_gamma 90.00
loop_
_atom_site_label
_atom_site_type_symbol
_atom_site_fract_x
_atom_site_fract_y
_atom_site_fract_z
Pr1 Pr 0.000 0.000 0.000
Pr2 Pr 0.000 0.011 0.199
Pr3 Pr 0.000 0.250 0.601
Tl1 Tl 0.000 0.250 0.391
```

=====

3.
Computed, not measured: a geometry-optimized PrTm6Tl3 structure at the PBE-GGA level of DFT.

Spin magnetization ... 0.0001 μB/atom
Crystal system ... orthorhombic
Uncorrected energy ... -3.988 eV per atom
V ... 1217 Å³/cell
Calculated formation energy ... -116.9 meV/atom

Structure (CIF):
```
data_PrTm6Tl3
_space_group_name_H-M_alt 'C m c 21'
_space_group_IT_number 36
_cell_length_a 11.290
_cell_length_b 12.753
_cell_length_c 8.456
_cell_angle_alpha 90.00
_cell_angle_beta 90.00
_cell_angle_gamma 90.00
loop_
_space_group_symop_operation_xyz
'x,y,z'
'-x,-y,z+1/2'
'-x,y,z'
'x,-y,z+1/2'
'x+1/2,y+1/2,z'
'-x+1/2,-y+1/2,z+1/2'
'-x+1/2,y+1/2,z'
'x+1/2,-y+1/2,z+1/2'
loop_
_atom_site_label
_atom_site_type_symbol
_atom_site_fract_x
_atom_site_fract_y
_atom_site_fract_z
Pr1 Pr 0.000 0.185 0.000
Tm1 Tm 0.000 0.271 0.425
Tm2 Tm 0.000 0.466 0.807
Tm3 Tm 0.168 0.065 0.336
Tm4 Tm 0.244 0.318 0.192
Tl1 Tl 0.000 0.078 0.641
Tl2 Tl 0.191 0.416 0.539
```

=====

4.
Computed, not measured: a geometry-optimized Pr4Tm3Tl4 structure at the PBE-GGA level of DFT.

Spin magnetization ... 0.0000 μB/atom
Crystal system ... orthorhombic
Uncorrected energy ... -3.905 eV per atom
V ... 688 Å³/cell
Calculated formation energy ... -87.1 meV/atom

Structure (CIF):
```
data_Pr4Tm3Tl4
_space_group_name_H-M_alt 'I m m m'
_space_group_IT_number 71
_space_group_name_Hall '-I 2 2'
_cell_length_a 3.612
_cell_length_b 5.141
_cell_length_c 37.030
_cell_angle_alpha 90.00
_cell_angle_beta 90.00
_cell_angle_gamma 90.00
loop_
_atom_site_label
_atom_site_type_symbol
_atom_site_fract_x
_atom_site_fract_y
_atom_site_fract_z
Pr1 Pr 0.000 0.000 0.093
Pr2 Pr 0.000 0.500 0.235
Tm1 Tm 0.000 0.000 0.352
Tm2 Tm 0.000 0.500 0.500
Tl1 Tl 0.000 0.000 0.180
Tl2 Tl 0.000 0.500 0.043
```

=====

5.
Computed, not measured: a geometry-optimized Pr3Tm3Tl2 structure at the PBE-GGA level of DFT.

Spin magnetization ... 0.0000 μB/atom
Crystal system ... orthorhombic
Uncorrected energy ... -4.180 eV per atom
V ... 1026 Å³/cell
Calculated formation energy ... -119.6 meV/atom

Structure (CIF):
```
data_Pr3Tm3Tl2
_space_group_name_H-M_alt 'C m c m'
_space_group_IT_number 63
_space_group_name_Hall '-C 2c 2'
_cell_length_a 5.083
_cell_length_b 11.972
_cell_length_c 16.867
_cell_angle_alpha 90.00
_cell_angle_beta 90.00
_cell_angle_gamma 90.00
loop_
_atom_site_label
_atom_site_type_symbol
_atom_site_fract_x
_atom_site_fract_y
_atom_site_fract_z
Pr1 Pr 0.000 0.050 0.104
Pr2 Pr 0.000 0.292 0.250
Tm1 Tm 0.000 0.365 0.042
Tm2 Tm 0.000 0.425 0.750
Tl1 Tl 0.000 0.237 0.621
```

=====

6.
Computed, not measured: a geometry-optimized Pr4Tm5Tl structure at the PBE-GGA level of DFT.

Spin magnetization ... 0.0000 μB/atom
Crystal system ... tetragonal
Uncorrected energy ... -4.441 eV per atom
V ... 318 Å³/cell
Calculated formation energy ... -57.2 meV/atom

Structure (CIF):
```
data_Pr4Tm5Tl
_space_group_name_H-M_alt 'P 4/m m m'
_space_group_IT_number 123
_space_group_name_Hall '-P 4 2'
_cell_length_a 3.634
_cell_length_b 3.634
_cell_length_c 24.116
_cell_angle_alpha 90.00
_cell_angle_beta 90.00
_cell_angle_gamma 90.00
loop_
_atom_site_label
_atom_site_type_symbol
_atom_site_fract_x
_atom_site_fract_y
_atom_site_fract_z
Pr1 Pr 0.000 0.000 0.103
Pr2 Pr 0.000 0.000 0.313
Tm1 Tm 0.500 0.500 0.000
Tm2 Tm 0.500 0.500 0.207
Tm3 Tm 0.500 0.500 0.416
Tl1 Tl 0.000 0.000 0.500
```

=====

7.
Computed, not measured: a geometry-optimized Pr2Tm2Tl5 structure at the PBE-GGA level of DFT.

Spin magnetization ... 0.0000 μB/atom
Crystal system ... orthorhombic
Uncorrected energy ... -3.529 eV per atom
V ... 1094 Å³/cell
Calculated formation energy ... -158.6 meV/atom

Structure (CIF):
```
data_Pr2Tm2Tl5
_space_group_name_H-M_alt 'I m a 2'
_space_group_IT_number 46
_cell_length_a 15.307
_cell_length_b 7.276
_cell_length_c 9.823
_cell_angle_alpha 90.00
_cell_angle_beta 90.00
_cell_angle_gamma 90.00
loop_
_space_group_symop_operation_xyz
'x,y,z'
'-x,-y,z'
'-x+1/2,y,z'
'x+1/2,-y,z'
'x+1/2,y+1/2,z+1/2'
'-x+1/2,-y+1/2,z+1/2'
'-x,y+1/2,z+1/2'
'x,-y+1/2,z+1/2'
loop_
_atom_site_label
_atom_site_type_symbol
_atom_site_fract_x
_atom_site_fract_y
_atom_site_fract_z
Pr1 Pr 0.128 0.035 0.000
Tm1 Tm 0.000 0.000 0.434
Tm2 Tm 0.250 0.519 0.064
Tl1 Tl 0.040 0.195 0.713
Tl2 Tl 0.153 0.706 0.782
Tl3 Tl 0.250 0.202 0.283
```

=====

8.
Computed, not measured: a geometry-optimized PrTmTl2 structure at the PBE-GGA level of DFT.

Spin magnetization ... 0.0000 μB/atom
Crystal system ... cubic
Uncorrected energy ... -3.834 eV per atom
V ... 456 Å³/cell
Calculated formation energy ... -338.2 meV/atom

Structure (CIF):
```
data_PrTmTl2
_space_group_name_H-M_alt 'F m -3 m'
_space_group_IT_number 225
_space_group_name_Hall '-F 4 2 3'
_cell_length_a 7.697
_cell_length_b 7.697
_cell_length_c 7.697
_cell_angle_alpha 90.00
_cell_angle_beta 90.00
_cell_angle_gamma 90.00
loop_
_atom_site_label
_atom_site_type_symbol
_atom_site_fract_x
_atom_site_fract_y
_atom_site_fract_z
Pr1 Pr 0.000 0.000 0.000
Tm1 Tm 0.000 0.000 0.500
Tl1 Tl 0.250 0.250 0.250
```

=====

9.
Computed, not measured: a geometry-optimized Pr2TmTl2 structure at the PBE-GGA level of DFT.

Spin magnetization ... 0.0000 μB/atom
Crystal system ... orthorhombic
Uncorrected energy ... -3.989 eV per atom
V ... 611 Å³/cell
Calculated formation energy ... -236.7 meV/atom

Structure (CIF):
```
data_Pr2TmTl2
_space_group_name_H-M_alt 'C m c 21'
_space_group_IT_number 36
_cell_length_a 5.109
_cell_length_b 17.913
_cell_length_c 6.673
_cell_angle_alpha 90.00
_cell_angle_beta 90.00
_cell_angle_gamma 90.00
loop_
_space_group_symop_operation_xyz
'x,y,z'
'-x,-y,z+1/2'
'-x,y,z'
'x,-y,z+1/2'
'x+1/2,y+1/2,z'
'-x+1/2,-y+1/2,z+1/2'
'-x+1/2,y+1/2,z'
'x+1/2,-y+1/2,z+1/2'
loop_
_atom_site_label
_atom_site_type_symbol
_atom_site_fract_x
_atom_site_fract_y
_atom_site_fract_z
Pr1 Pr 0.000 0.008 0.000
Pr2 Pr 0.000 0.202 0.456
Tm1 Tm 0.000 0.390 0.239
Tl1 Tl 0.000 0.192 0.962
Tl2 Tl 0.000 0.410 0.750
```

=====

10.
Computed, not measured: a geometry-optimized PrTm4Tl structure at the PBE-GGA level of DFT.

Spin magnetization ... 0.0000 μB/atom
Crystal system ... tetragonal
Uncorrected energy ... -4.269 eV per atom
V ... 181 Å³/cell
Calculated formation energy ... -97.0 meV/atom

Structure (CIF):
```
data_PrTm4Tl
_space_group_name_H-M_alt 'P 4/m m m'
_space_group_IT_number 123
_space_group_name_Hall '-P 4 2'
_cell_length_a 3.577
_cell_length_b 3.577
_cell_length_c 14.119
_cell_angle_alpha 90.00
_cell_angle_beta 90.00
_cell_angle_gamma 90.00
loop_
_atom_site_label
_atom_site_type_symbol
_atom_site_fract_x
_atom_site_fract_y
_atom_site_fract_z
Pr1 Pr 0.000 0.000 0.000
Tm1 Tm 0.000 0.000 0.352
Tm2 Tm 0.500 0.500 0.181
Tl1 Tl 0.500 0.500 0.500
```

=====

11.
Computed, not measured: a geometry-optimized PrTm2Tl structure at the PBE-GGA level of DFT.

Spin magnetization ... 0.0000 μB/atom
Crystal system ... monoclinic
Uncorrected energy ... -4.190 eV per atom
V ... 249 Å³/cell
Calculated formation energy ... -168.1 meV/atom

Structure (CIF):
```
data_PrTm2Tl
_space_group_name_H-M_alt 'P 1 21/m 1'
_space_group_IT_number 11
_cell_length_a 4.731
_cell_length_b 4.843
_cell_length_c 11.106
_cell_angle_alpha 90.00
_cell_angle_beta 102.25
_cell_angle_gamma 90.00
loop_
_space_group_symop_operation_xyz
'x,y,z'
'-x,-y,-z'
'-x,y+1/2,-z'
'x,-y+1/2,z'
loop_
_atom_site_label
_atom_site_type_symbol
_atom_site_fract_x
_atom_site_fract_y
_atom_site_fract_z
Pr1 Pr 0.192 0.250 0.383
Tm1 Tm 0.056 0.750 0.111
Tm2 Tm 0.437 0.750 0.875
Tl1 Tl 0.340 0.250 0.679
```

=====

12.
Computed, not measured: a geometry-optimized PrTm5Tl6 structure at the PBE-GGA level of DFT.

Spin magnetization ... 0.0000 μB/atom
Crystal system ... monoclinic
Uncorrected energy ... -3.676 eV per atom
V ... 696 Å³/cell
Calculated formation energy ... -231.3 meV/atom

Structure (CIF):
```
data_PrTm5Tl6
_space_group_name_H-M_alt 'C 1 2/m 1'
_space_group_IT_number 12
_cell_length_a 9.902
_cell_length_b 11.219
_cell_length_c 6.428
_cell_angle_alpha 90.00
_cell_angle_beta 102.88
_cell_angle_gamma 90.00
loop_
_space_group_symop_operation_xyz
'x,y,z'
'-x,-y,-z'
'-x,y,-z'
'x,-y,z'
'x+1/2,y+1/2,z'
'-x+1/2,-y+1/2,-z'
'-x+1/2,y+1/2,-z'
'x+1/2,-y+1/2,z'
loop_
_atom_site_label
_atom_site_type_symbol
_atom_site_fract_x
_atom_site_fract_y
_atom_site_fract_z
Pr1 Pr 0.000 0.000 0.000
Tm1 Tm 0.000 0.167 0.500
Tm2 Tm 0.000 0.337 0.000
Tm3 Tm 0.000 0.500 0.500
Tl1 Tl 0.246 0.328 0.745
Tl2 Tl 0.248 0.500 0.264
```

=====

Question: Among the records above, which one has the highest V?
Answer: PrTm6Tl3

=====

Question: The highest uncorrected energy belongs to which entry?
Answer: Pr2Tm2Tl5

=====

Question: Number 1 is which compound?
Answer: Pr5Tl